Entry 1:
10
Lattice="-2.779 -2.854 -1.173 2.193 -2.938 1.951 -5.167 1.634 8.269" Properties=species:S:1:pos:R:3 comment="Nd2BeSi3Ir4 GGA-PBE relaxed" magnetic_moment_mub_per_cell=0.000 n_ef_per_ev_fu=8.16 total_energy_ev_per_cell=-74.41 e_form_raw_ev_per_atom=-0.94 sg="No. 115" pbc="T T T"
Ir 0.000 0.000 0.000
Ir -4.608 -0.409 4.565
Ir -0.293 -2.896 0.389
Ir -0.852 -0.853 4.094
Si -2.584 0.817 4.135
Si 0.420 -1.255 2.059
Si -5.880 -0.007 6.600
Be -2.877 -2.079 4.524
Nd -2.741 -0.255 7.117
Nd -2.719 -1.007 1.541

Entry 2:
10
Lattice="-2.291 2.919 -1.877 -3.452 -2.148 0.873 -0.856 4.889 8.645" Properties=species:S:1:pos:R:3 comment="Nd2BeSi4Ir3 GGA-PBE relaxed" magnetic_moment_mub_per_cell=0.000 n_ef_per_ev_fu=6.53 total_energy_ev_per_cell=-69.93 e_form_raw_ev_per_atom=-0.84 sg="No. 115" pbc="T T T"
Si -2.042 0.731 3.628
Si 0.000 0.000 0.000
Si -2.871 0.385 -0.502
Si -1.685 4.543 4.514
Be -3.299 2.830 3.820
Nd -2.368 2.593 6.921
Nd -1.359 2.681 1.222
Ir -1.833 -0.461 1.520
Ir -0.428 2.444 4.322
Ir -1.894 5.735 6.622

Entry 3:
5
Lattice="3.955 0.000 0.000 0.000 3.896 0.000 -1.977 -1.948 5.106" Properties=species:S:1:pos:R:3 comment="NdBe2SiIr GGA-PBE relaxed" magnetic_moment_mub_per_cell=0.000 n_ef_per_ev_fu=2.52 total_energy_ev_per_cell=-29.00 e_form_raw_ev_per_atom=-0.50 sg="No. 44" pbc="T T T"
Be 1.977 0.000 1.961
Be 0.000 0.000 0.720
Ir 0.000 1.948 1.909
Nd 0.000 0.000 4.536
Si 1.977 1.948 3.253

Entry 4:
4
Lattice="-1.463 2.333 3.101 0.458 -3.136 2.576 4.610 1.756 -1.920" Properties=species:S:1:pos:R:3 comment="NdBeSiIr GGA-PBE relaxed" magnetic_moment_mub_per_cell=0.000 n_ef_per_ev_fu=2.91 total_energy_ev_per_cell=-24.00 e_form_raw_ev_per_atom=-0.31 sg="No. 44" pbc="T T T"
Ir 2.782 0.918 0.622
Be 2.017 -0.979 1.688
Si 0.346 -0.122 3.028
Nd 3.241 0.833 3.676